Record 1
## Ta2CuSb (PBE)

Data for crystalline Ta2CuSb at its relaxed geometry.

* DFT total energy: -7.5836 eV/atom

Cell and atoms, written as extended XYZ:
```
4
Lattice="-5.1170 4.6585 6.0767 -6.9506 4.8197 3.6429 -7.0325 2.3659 5.4551" Properties=species:S:1:pos:R:3 pbc="T T T"
Cu -4.7750 2.9610 3.7937
Sb -14.3251 8.8830 11.3811
Ta -18.9885 11.7748 15.0860
Ta -9.6617 5.9913 7.6761
```


Record 2
## PmUSn2 (PBE)

Data for crystalline PmUSn2 at its relaxed geometry.

* E_form: -0.30 eV/atom
* DFT total energy: -6.3074 eV/atom

Cell and atoms, written as extended XYZ:
```
4
Lattice="-3.3393 0.6453 -0.2764 -0.4135 -2.8937 -1.7605 -1.5205 -4.5275 7.7988" Properties=species:S:1:pos:R:3 pbc="T T T"
U -1.8764 -1.1242 -1.0185
Sn -1.1459 -3.4122 5.8775
Sn -0.3746 -1.1154 1.9212
Pm -2.6366 -3.3879 2.8809
```


Record 3
## K2In4Sn3 (PBE)

Data for crystalline K2In4Sn3 at its relaxed geometry.

* E_form: -0.12 eV/atom
* DFT total energy: -2.9144 eV/atom

Cell and atoms, written as extended XYZ:
```
18
Lattice="6.6940 0.0000 0.0000 0.0000 9.3914 0.0000 -3.3470 0.0000 8.9660" Properties=species:S:1:pos:R:3 pbc="T T T"
K 0.0000 5.6083 1.8764
K 3.3470 3.7830 7.0896
K 0.0000 0.9127 7.0896
K 3.3470 8.4787 1.8764
In 1.6735 7.0435 7.8166
In 5.0205 2.3478 1.1494
In 1.6735 2.3478 1.1494
In -1.6735 7.0435 7.8166
In 0.0000 9.2080 3.2274
In 3.3470 0.1834 5.7386
In 0.0000 4.5123 5.7386
In 3.3470 4.8791 3.2274
Sn 0.0000 0.0000 0.0000
Sn 3.3470 4.6957 0.0000
Sn 1.6735 7.0435 4.8332
Sn 5.0205 2.3478 4.1329
Sn 1.6735 2.3478 4.1329
Sn -1.6735 7.0435 4.8332
```


Record 4
## KScTa2In (PBE)

Data for crystalline KScTa2In at its relaxed geometry.

* E_form: 2.28 eV/atom
* DFT total energy: -4.4970 eV/atom

Cell and atoms, written as extended XYZ:
```
5
Lattice="4.6925 0.0000 0.0000 0.0000 5.3935 0.0000 0.0000 0.0000 4.6925" Properties=species:S:1:pos:R:3 pbc="T T T"
Sc 2.3463 2.6968 2.3463
K 0.0000 0.0000 0.0000
In 0.0000 2.6968 0.0000
Ta 0.0000 0.0000 2.3463
Ta 2.3463 0.0000 0.0000
```


Record 5
## La2Sm3Mg3 (PBE)

Data for crystalline La2Sm3Mg3 at its relaxed geometry.

* E_form: -0.05 eV/atom
* DFT total energy: -3.6493 eV/atom

Cell and atoms, written as extended XYZ:
```
8
Lattice="3.9018 0.0000 0.0000 0.0000 5.5457 0.0000 -1.9509 -2.7728 11.4845" Properties=species:S:1:pos:R:3 pbc="T T T"
La 1.9509 0.0000 5.3753
La 0.0000 2.7728 6.1092
Sm 1.9509 2.7728 2.7689
Sm 0.0000 0.0000 8.7155
Sm 1.9509 0.0000 0.0000
Mg 0.0000 0.0000 2.6236
Mg 0.0000 2.7728 0.0000
Mg 1.9509 2.7728 8.8609
```


Record 6
## Ac2La9Sc (PBE)

Data for crystalline Ac2La9Sc at its relaxed geometry.

* E_form: 0.03 eV/atom
* DFT total energy: -4.8800 eV/atom

Cell and atoms, written as extended XYZ:
```
12
Lattice="5.2843 0.0000 0.0000 0.0000 5.2843 0.0000 0.0000 0.0000 15.7889" Properties=species:S:1:pos:R:3 pbc="T T T"
Ac 0.0000 0.0000 5.1867
Ac 0.0000 0.0000 10.6022
La 2.6422 2.6422 0.0000
La 2.6422 2.6422 5.1783
La 2.6422 2.6422 10.6106
La 2.6422 0.0000 2.4835
La 2.6422 0.0000 7.8945
La 2.6422 0.0000 13.3054
La 0.0000 2.6422 2.4835
La 0.0000 2.6422 7.8945
La 0.0000 2.6422 13.3054
Sc 0.0000 0.0000 0.0000
```


| no. | spin magnetization (Bohr magnetons per cell) |
| --- | --- |
| 1 | 0.0 |
| 2 | 3.0 |
| 3 | 0.0 |
| 4 | 0.0 |
| 5 | 0.0 |
| 6 | 0.0 |